Density functional theory data (PBE with a Hubbard U) for FeSbI2O after structural relaxation.

The value obtained for the density of states at the Fermi level is 1.09 states/eV/cell. The polymorph energy (0 for the lowest one) is 183.0 meV/atom. As for the volume: 30.5 A^3/atom.

The space group is P4/mmm (No. 123) and the conventional cell measures 6.107, 6.107 and 4.085 Å, with angles of 90.00, 90.00 and 90.00 degrees. Symmetry generates all atoms from Fe at (0.000, 0.000, 0.000), Sb at (0.500, 0.500, 0.500), I at (0.000, 0.500, 0.500) and O at (0.500, 0.500, 0.000).